(1)
The following is a DFT calculation (PBE-GGA) of a relaxed K3DyNb2O8 crystal.

## Properties
Uncorrected energy ... -7.414 eV/atom
E_form (uncorrected) ... -2579 meV per atom
Total magnetization ... 0.0 μB per formula unit

a = 6.200 Å, b = 6.200 Å, c = 7.757 Å
α = 90.00°, β = 90.00°, γ = 120.00°
Atoms (fractional coordinates):
K  0.000  0.000  0.000
K  0.333  0.667  0.674
K  0.667  0.333  0.326
Dy  0.000  0.000  0.500
Nb  0.333  0.667  0.233
Nb  0.667  0.333  0.767
O  0.169  0.338  0.324
O  0.169  0.831  0.324
O  0.333  0.667  0.999
O  0.338  0.169  0.676
O  0.662  0.831  0.324
O  0.667  0.333  0.001
O  0.831  0.169  0.676
O  0.831  0.662  0.676

***

(2)
The following is a DFT calculation (PBE-GGA) of a relaxed K3DyNb2O9 crystal.

## Properties
Uncorrected energy ... -7.151 eV/atom
E_form (uncorrected) ... -2307 meV per atom
Total magnetization ... 2.1 μB per formula unit

a = 5.954 Å, b = 5.954 Å, c = 7.331 Å
α = 90.00°, β = 90.00°, γ = 120.00°
Atoms (fractional coordinates):
K  0.000  0.000  0.000
K  0.333  0.667  0.675
K  0.667  0.333  0.325
Dy  0.000  0.000  0.500
Nb  0.333  0.667  0.175
Nb  0.667  0.333  0.825
O  0.000  0.500  0.000
O  0.175  0.350  0.316
O  0.175  0.825  0.316
O  0.350  0.175  0.684
O  0.500  0.000  0.000
O  0.500  0.500  0.000
O  0.650  0.825  0.316
O  0.825  0.175  0.684
O  0.825  0.650  0.684